The following is a PBE calculation of a relaxed structure of Np2P4Ir3Os, from Alexandria.

Output
ΔE_f = -0.648 eV/atom
Crystal system = tetragonal
Total DFT energy (no corrections) = -91.82 eV/f.u.
Space-group type = P-4m2, No. 115
Size of the total moment = 6.85 μB/f.u.

Unit cell a=4.150 b=4.150 c=9.463 alpha=90.00 beta=90.00 gamma=90.00
Last column: magnetic moment on the atom in μB.
Atoms (fractional coordinates):
Np (0.000, 0.500, 0.759)  3.52
Np (0.500, 0.000, 0.241)  3.52
P (0.000, 0.500, 0.365)  -0.02
Ir (0.000, 0.500, 0.116)  -0.10
P (0.500, 0.500, 0.000)  -0.03
P (0.500, 0.000, 0.635)  -0.02
Os (0.500, 0.500, 0.500)  -0.13
Ir (0.500, 0.000, 0.884)  -0.10
Ir (0.000, 0.000, 0.500)  -0.06
P (0.000, 0.000, 0.000)  -0.03



The following is a PBE calculation of a relaxed structure of NpSi2IrOs, from Alexandria.

Output
Crystal system = tetragonal
Total DFT energy (no corrections) = -46.86 eV/f.u.
Space-group type = I-4m2, No. 119
Formation energy from raw total energies = -596 meV/atom
Size of the total moment = 3.55 μB/f.u.

Unit cell a=4.114 b=4.114 c=5.727 alpha=111.05 beta=111.05 gamma=90.00
Last column: magnetic moment on the atom in μB.
Atoms (fractional coordinates):
Ir (0.250, 0.750, 0.500)  -0.06
Si (0.623, 0.623, 0.246)  -0.01
Np (0.000, 0.000, 0.000)  3.57
Os (0.750, 0.250, 0.500)  -0.14
Si (0.377, 0.377, 0.754)  -0.01



The following is a PBE calculation of a relaxed structure of Np2Si6IrOs, from Alexandria.

Output
Crystal system = cubic
Total DFT energy (no corrections) = -74.80 eV/f.u.
Space-group type = Fm-3m, No. 225
Formation energy from raw total energies = 371 meV/atom
Size of the total moment = 7.79 μB/f.u.

Unit cell a=6.558 b=6.558 c=6.558 alpha=60.00 beta=60.00 gamma=90.00
Last column: magnetic moment on the atom in μB.
Atoms (fractional coordinates):
Si (0.250, 0.250, 0.000)  -0.03
Si (0.750, 0.750, 0.500)  -0.03
Np (0.250, 0.750, 0.500)  3.88
Ir (0.500, 0.500, 0.000)  -0.03
Si (0.250, 0.750, 0.000)  -0.03
Np (0.750, 0.250, 0.500)  3.88
Si (0.250, 0.250, 0.500)  -0.03
Si (0.750, 0.750, 0.000)  -0.03
Os (0.000, 0.000, 0.000)  0.01
Si (0.750, 0.250, 0.000)  -0.03



The following is a PBE calculation of a relaxed structure of TbNpIrOs, from Alexandria.

Output
ΔE_f = -0.204 eV/atom
Crystal system = cubic
Total DFT energy (no corrections) = -38.48 eV/f.u.
Space-group type = F-43m, No. 216
Size of the total moment = 2.88 μB/f.u.

Unit cell a=4.828 b=4.828 c=4.828 alpha=60.00 beta=60.00 gamma=60.00
Last column: magnetic moment on the atom in μB.
Atoms (fractional coordinates):
Os (0.500, 0.500, 0.500)  -0.44
Tb (0.750, 0.750, 0.750)  0.10
Ir (0.000, 0.000, 0.000)  -0.33
Np (0.250, 0.250, 0.250)  3.36



The following is a PBE calculation of a relaxed structure of YNpIrOs, from Alexandria.

Output
ΔE_f = -0.206 eV/atom
Crystal system = cubic
Total DFT energy (no corrections) = -40.32 eV/f.u.
Space-group type = F-43m, No. 216
Size of the total moment = 2.89 μB/f.u.

Unit cell a=4.825 b=4.825 c=4.825 alpha=60.00 beta=60.00 gamma=60.00
Last column: magnetic moment on the atom in μB.
Atoms (fractional coordinates):
Os (0.750, 0.750, 0.750)  -0.43
Np (0.500, 0.500, 0.500)  3.36
Ir (0.250, 0.250, 0.250)  -0.33
Y (0.000, 0.000, 0.000)  0.07



The following is a PBE calculation of a relaxed structure of Np3P4Ir, from Alexandria.

Output
ΔE_f = -0.685 eV/atom
Crystal system = orthorhombic
Total DFT energy (no corrections) = -74.80 eV/f.u.
Space-group type = Immm, No. 71
Size of the total moment = 9.69 μB/f.u.

Unit cell a=3.739 b=6.713 c=7.378 alpha=117.06 beta=104.68 gamma=90.00
Last column: magnetic moment on the atom in μB.
Atoms (fractional coordinates):
Ir (0.500, 0.000, 0.000)  -0.25
Np (0.000, 0.500, 0.000)  3.29
P (0.377, 0.147, 0.754)  -0.13
Np (0.199, 0.199, 0.397)  3.36
P (0.377, 0.607, 0.754)  -0.13
P (0.623, 0.853, 0.246)  -0.13
P (0.623, 0.393, 0.246)  -0.13
Np (0.801, 0.801, 0.603)  3.36



The following is a PBE calculation of a relaxed structure of Np2P2Ir, from Alexandria.

Output
ΔE_f = -0.639 eV/atom
Crystal system = monoclinic
Total DFT energy (no corrections) = -48.76 eV/f.u.
Space-group type = C2/m, No. 12
Size of the total moment = 3.68 μB/f.u.

Unit cell a=3.966 b=5.495 c=9.059 alpha=89.06 beta=77.36 gamma=68.85
Last column: magnetic moment on the atom in μB.
Atoms (fractional coordinates):
P (0.612, 0.903, 0.873)  -0.01
Ir (0.501, 0.274, 0.724)  -0.08
P (0.966, 0.656, 0.412)  -0.04
Np (0.836, 0.368, 0.960)  -0.01
Ir (0.499, 0.726, 0.276)  -0.08
Np (0.164, 0.632, 0.040)  -0.01
P (0.034, 0.344, 0.588)  -0.04
Np (0.723, 0.194, 0.360)  3.55
P (0.388, 0.097, 0.127)  -0.01
Np (0.277, 0.806, 0.640)  3.55



The following is a PBE calculation of a relaxed structure of Np2P2Ir5, from Alexandria.

Output
ΔE_f = -0.537 eV/atom
Crystal system = tetragonal
Total DFT energy (no corrections) = -85.84 eV/f.u.
Space-group type = P4/mmm, No. 123
Size of the total moment = 6.29 μB/f.u.

Unit cell a=4.058 b=4.058 c=8.959 alpha=90.00 beta=90.00 gamma=90.00
Last column: magnetic moment on the atom in μB.
Atoms (fractional coordinates):
Ir (0.500, 0.000, 0.266)  -0.08
P (0.500, 0.500, 0.873)  -0.02
Ir (0.000, 0.500, 0.734)  -0.08
Np (0.000, 0.000, 0.000)  3.71
P (0.500, 0.500, 0.127)  -0.02
Ir (0.500, 0.500, 0.500)  -0.19
Ir (0.500, 0.000, 0.734)  -0.08
Np (0.000, 0.000, 0.500)  2.83
Ir (0.000, 0.500, 0.266)  -0.08



The following is a PBE calculation of a relaxed structure of NpP2Ir4, from Alexandria.

Output
ΔE_f = -0.466 eV/atom
Crystal system = tetragonal
Total DFT energy (no corrections) = -62.46 eV/f.u.
Space-group type = P4_2/mnm, No. 136
Size of the total moment = 3.45 μB/f.u.

Unit cell a=3.810 b=7.575 c=7.575 alpha=90.00 beta=90.00 gamma=90.00
Last column: magnetic moment on the atom in μB.
Atoms (fractional coordinates):
Ir (0.000, 0.675, 0.927)  -0.07
Ir (0.500, 0.825, 0.427)  -0.07
Ir (0.500, 0.175, 0.573)  -0.07
P (0.500, 0.730, 0.730)  -0.01
Ir (0.500, 0.427, 0.825)  -0.07
Np (0.500, 0.000, 0.000)  3.52
Ir (0.000, 0.073, 0.325)  -0.07
Ir (0.000, 0.325, 0.073)  -0.07
P (0.000, 0.230, 0.770)  -0.01
Np (0.000, 0.500, 0.500)  3.52
P (0.000, 0.770, 0.230)  -0.01
Ir (0.500, 0.573, 0.175)  -0.07
Ir (0.000, 0.927, 0.675)  -0.07
P (0.500, 0.270, 0.270)  -0.01



The following is a PBE calculation of a relaxed structure of Np2P3Ir2, from Alexandria.

Output
ΔE_f = -0.638 eV/atom
Crystal system = orthorhombic
Total DFT energy (no corrections) = -64.30 eV/f.u.
Space-group type = Cmcm, No. 63
Size of the total moment = 6.75 μB/f.u.

Unit cell a=3.960 b=6.964 c=8.905 alpha=90.00 beta=102.85 gamma=90.00
Last column: magnetic moment on the atom in μB.
Atoms (fractional coordinates):
P (0.777, 0.250, 0.553)  -0.01
Np (0.859, 0.750, 0.719)  3.31
Ir (0.303, 0.049, 0.606)  -0.11
P (0.436, 0.537, 0.871)  -0.08
P (0.223, 0.750, 0.447)  -0.01
Ir (0.697, 0.951, 0.394)  -0.11
P (0.564, 0.037, 0.129)  -0.08
P (0.436, 0.963, 0.871)  -0.08
Np (0.141, 0.250, 0.281)  3.31
Np (0.055, 0.750, 0.109)  3.47
Ir (0.697, 0.549, 0.394)  -0.11
Ir (0.303, 0.451, 0.606)  -0.11
Np (0.945, 0.250, 0.891)  3.47
P (0.564, 0.463, 0.129)  -0.08



The following is a PBE calculation of a relaxed structure of Np2PIr6, from Alexandria.

Output
ΔE_f = -0.381 eV/atom
Crystal system = monoclinic
Total DFT energy (no corrections) = -87.89 eV/f.u.
Space-group type = C2/m, No. 12
Size of the total moment = 5.30 μB/f.u.

Unit cell a=5.524 b=5.491 c=6.016 alpha=77.48 beta=90.00 gamma=120.20
Last column: magnetic moment on the atom in μB.
Atoms (fractional coordinates):
Ir (0.610, 0.731, 0.308)  -0.20
P (0.000, 0.000, 0.000)  -0.01
Ir (0.880, 0.269, 0.692)  -0.20
Ir (0.390, 0.269, 0.692)  -0.20
Ir (0.881, 0.761, 0.696)  -0.18
Ir (0.119, 0.239, 0.304)  -0.18
Np (0.643, 0.286, 0.150)  3.09
Np (0.357, 0.714, 0.850)  3.09
Ir (0.120, 0.731, 0.308)  -0.20



The following is a PBE calculation of a relaxed structure of NpP2Ir, from Alexandria.

Output
ΔE_f = -0.667 eV/atom
Crystal system = tetragonal
Total DFT energy (no corrections) = -35.29 eV/f.u.
Energy relative to the lowest polymorph listed for this composition = 0.34 eV/f.u.
Space-group type = I4/mmm, No. 139
Size of the total moment = 3.41 μB/f.u.

Unit cell a=3.881 b=3.881 c=9.594 alpha=101.67 beta=101.67 gamma=90.00
Last column: magnetic moment on the atom in μB.
Atoms (fractional coordinates):
Ir (0.750, 0.250, 0.500)  -0.01
P (0.672, 0.672, 0.344)  -0.01
P (0.000, 0.500, 0.000)  -0.08
Ir (0.250, 0.750, 0.500)  -0.01
P (0.328, 0.328, 0.656)  -0.01
Np (0.891, 0.891, 0.782)  3.34
P (0.500, 0.000, 0.000)  -0.08
Np (0.109, 0.109, 0.218)  3.34



The following is a PBE calculation of a relaxed structure of NpPIr3, from Alexandria.

Output
ΔE_f = -0.458 eV/atom
Crystal system = tetragonal
Total DFT energy (no corrections) = -47.22 eV/f.u.
Space-group type = I4mm, No. 107
Size of the total moment = 0.01 μB/f.u.

Unit cell a=6.016 b=6.016 c=6.016 alpha=141.80 beta=141.80 gamma=55.14
Atoms (fractional coordinates):
Np (0.614, 0.614, 0.000)
Ir (0.359, 0.859, 0.500)
P (0.976, 0.976, 0.000)
Ir (0.186, 0.186, 0.000)
Ir (0.859, 0.359, 0.500)



The following is a PBE calculation of a relaxed structure of Np3P3Ir, from Alexandria.

Output
ΔE_f = -0.653 eV/atom
Crystal system = hexagonal
Total DFT energy (no corrections) = -68.48 eV/f.u.
Space-group type = P6_3/m, No. 176
Size of the total moment = 10.55 μB/f.u.

Unit cell a=5.434 b=7.922 c=7.922 alpha=120.00 beta=90.00 gamma=90.00
Last column: magnetic moment on the atom in μB.
Atoms (fractional coordinates):
Np (0.750, 0.907, 0.321)  3.48
P (0.250, 0.924, 0.264)  -0.11
Np (0.750, 0.679, 0.586)  3.48
P (0.750, 0.076, 0.736)  -0.11
Np (0.750, 0.414, 0.093)  3.48
P (0.750, 0.660, 0.924)  -0.11
Np (0.250, 0.586, 0.907)  3.48
Np (0.250, 0.321, 0.414)  3.48
P (0.250, 0.340, 0.076)  -0.11
Ir (0.750, 0.333, 0.667)  -0.30
P (0.250, 0.736, 0.660)  -0.11
P (0.750, 0.264, 0.340)  -0.11
Ir (0.250, 0.667, 0.333)  -0.30
Np (0.250, 0.093, 0.679)  3.48



The following is a PBE calculation of a relaxed structure of NpP2Ir, from Alexandria.

Output
ΔE_f = -0.751 eV/atom
Crystal system = trigonal
Total DFT energy (no corrections) = -35.63 eV/f.u.
Energy relative to the lowest polymorph listed for this composition = 0.00 eV/f.u.
Space-group type = R-3m, No. 166
Size of the total moment = 4.00 μB/f.u.

Unit cell a=3.870 b=3.870 c=5.713 alpha=70.20 beta=70.20 gamma=60.00
Last column: magnetic moment on the atom in μB.
Atoms (fractional coordinates):
P (0.267, 0.267, 0.198)  -0.04
Np (0.500, 0.500, 0.500)  3.74
P (0.733, 0.733, 0.802)  -0.04
Ir (0.000, 0.000, 0.000)  0.06



The following is a PBE calculation of a relaxed structure of NpPIr2, from Alexandria.

Output
ΔE_f = -0.511 eV/atom
Crystal system = tetragonal
Total DFT energy (no corrections) = -38.12 eV/f.u.
Space-group type = P4/nmm, No. 129
Size of the total moment = 3.31 μB/f.u.

Unit cell a=3.866 b=3.866 c=9.325 alpha=90.00 beta=90.00 gamma=90.00
Last column: magnetic moment on the atom in μB.
Atoms (fractional coordinates):
Ir (0.500, 0.500, 0.500)  -0.01
Np (0.000, 0.500, 0.787)  3.40
P (0.500, 0.000, 0.650)  -0.01
Ir (0.500, 0.000, 0.902)  -0.26
Ir (0.000, 0.500, 0.098)  -0.26
Np (0.500, 0.000, 0.213)  3.40
P (0.000, 0.500, 0.350)  -0.01
Ir (0.000, 0.000, 0.500)  -0.01



The following is a PBE calculation of a relaxed structure of Np2P4Ir3Pd, from Alexandria.

Output
ΔE_f = -0.666 eV/atom
Crystal system = tetragonal
Total DFT energy (no corrections) = -85.96 eV/f.u.
Space-group type = P-4m2, No. 115
Size of the total moment = 7.16 μB/f.u.

Unit cell a=4.187 b=4.187 c=9.478 alpha=90.00 beta=90.00 gamma=90.00
Last column: magnetic moment on the atom in μB.
Atoms (fractional coordinates):
Np (0.500, 0.000, 0.243)  3.60
Np (0.000, 0.500, 0.757)  3.60
Ir (0.500, 0.000, 0.887)  -0.08
Ir (0.000, 0.000, 0.500)  -0.05
Pd (0.500, 0.500, 0.500)  0.01
P (0.000, 0.500, 0.360)  -0.02
Ir (0.000, 0.500, 0.113)  -0.08
P (0.500, 0.000, 0.640)  -0.02
P (0.500, 0.500, 0.000)  -0.03
P (0.000, 0.000, 0.000)  -0.03



The following is a PBE calculation of a relaxed structure of Np2P4Ir3Pt, from Alexandria.

Output
ΔE_f = -0.660 eV/atom
Crystal system = tetragonal
Total DFT energy (no corrections) = -86.74 eV/f.u.
Space-group type = P-4m2, No. 115
Size of the total moment = 7.32 μB/f.u.

Unit cell a=4.160 b=4.160 c=9.601 alpha=90.00 beta=90.00 gamma=90.00
Last column: magnetic moment on the atom in μB.
Atoms (fractional coordinates):
P (0.500, 0.000, 0.644)  -0.01
P (0.000, 0.500, 0.356)  -0.01
Pt (0.500, 0.500, 0.500)  0.07
Ir (0.500, 0.000, 0.887)  -0.09
P (0.000, 0.000, 0.000)  -0.03
Np (0.500, 0.000, 0.242)  3.58
P (0.500, 0.500, 0.000)  -0.03
Ir (0.000, 0.000, 0.500)  0.07
Ir (0.000, 0.500, 0.113)  -0.09
Np (0.000, 0.500, 0.758)  3.58



The following is a PBE calculation of a relaxed structure of NpP2Ir2Pt, from Alexandria.

Output
ΔE_f = -0.470 eV/atom
Crystal system = orthorhombic
Total DFT energy (no corrections) = -50.34 eV/f.u.
Space-group type = Pmc2_1, No. 26
Size of the total moment = 3.38 μB/f.u.

Unit cell a=3.651 b=6.187 c=8.736 alpha=90.00 beta=90.00 gamma=90.00
Last column: magnetic moment on the atom in μB.
Atoms (fractional coordinates):
Pt (0.500, 0.157, 0.681)  -0.13
Ir (0.500, 0.501, 0.886)  -0.06
Np (0.000, 0.983, 0.437)  3.46
Ir (0.500, 0.001, 0.114)  -0.06
P (0.000, 0.257, 0.895)  -0.01
Np (0.000, 0.483, 0.563)  3.46
Ir (0.000, 0.876, 0.854)  -0.02
P (0.000, 0.757, 0.105)  -0.01
P (0.500, 0.772, 0.696)  -0.04
Pt (0.500, 0.657, 0.319)  -0.13
Ir (0.000, 0.376, 0.146)  -0.02
P (0.500, 0.272, 0.304)  -0.04



The following is a PBE calculation of a relaxed structure of Np2P3Ir4Pt, from Alexandria.

Output
ΔE_f = -0.563 eV/atom
Crystal system = tetragonal
Total DFT energy (no corrections) = -89.23 eV/f.u.
Space-group type = P-4m2, No. 115
Size of the total moment = 6.40 μB/f.u.

Unit cell a=3.932 b=3.932 c=10.942 alpha=90.00 beta=90.00 gamma=90.00
Last column: magnetic moment on the atom in μB.
Atoms (fractional coordinates):
Ir (0.500, 0.000, 0.673)  -0.24
Ir (0.000, 0.500, 0.327)  -0.24
Pt (0.500, 0.500, 0.500)  -0.09
P (0.000, 0.500, 0.123)  -0.02
Ir (0.000, 0.000, 0.000)  -0.03
P (0.000, 0.000, 0.500)  -0.06
Np (0.500, 0.000, 0.254)  3.42
P (0.500, 0.000, 0.877)  -0.02
Np (0.000, 0.500, 0.746)  3.42
Ir (0.500, 0.500, 0.000)  -0.02